# 1
Below is a relaxed Ba2CdFeAu crystal, with properties calculated at the PBEsol level.

Unit cell a=6.085 b=6.085 c=5.160 alpha=90.00 beta=90.00 gamma=90.00
Space group P4/mmm (No. 123)
Asymmetric unit:
Ba (0.000, 0.500, 0.000) (multiplicity 2)
Cd (0.000, 0.000, 0.500) (multiplicity 1)
Fe (0.500, 0.500, 0.500) (multiplicity 1)
Au (0.000, 0.000, 0.000) (multiplicity 1)

ΔE_f = 463.0 meV/atom
magnetization = 0.587 μB per atom
mass density = 5.56 g/cm3
E_tot = -16.1 eV/cell

# 2
Below is a relaxed Ta2GePdF crystal, with properties calculated at the PBEsol level.

Unit cell a=4.777 b=4.777 c=4.450 alpha=90.00 beta=90.00 gamma=90.00
Space group P4/mmm (No. 123)
Asymmetric unit:
Ta (0.000, 0.500, 0.000) (multiplicity 2)
Ge (0.000, 0.000, 0.000) (multiplicity 1)
Pd (0.000, 0.000, 0.500) (multiplicity 1)
F (0.500, 0.500, 0.500) (multiplicity 1)

magnetization = 0.000 μB per atom
mass density = 9.16 g/cm3
ΔE_f (raw) = 1.067 eV/atom
E_tot = -32.6 eV/cell

# 3
Below is a relaxed InIr5 crystal, with properties calculated at the PBEsol level.

Unit cell a=2.767 b=2.767 c=11.645 alpha=90.00 beta=90.00 gamma=90.00
Space group P4/mmm (No. 123)
Asymmetric unit:
In (0.000, 0.000, 0.000) (multiplicity 1)
Ir (0.000, 0.000, 0.338) (multiplicity 2)
Ir (0.500, 0.500, 0.179) (multiplicity 2)
Ir (0.500, 0.500, 0.500) (multiplicity 1)

ΔE_f = 78.7 meV/atom
magnetization = 0.000 μB per atom
mass density = 20.03 g/cm3
E_tot = -51.6 eV/cell

# 4
Below is a relaxed BaOs2RuW crystal, with properties calculated at the PBEsol level.

Unit cell a=4.789 b=4.789 c=4.738 alpha=90.00 beta=90.00 gamma=90.00
Space group P4/mmm (No. 123)
Asymmetric unit:
Ba (0.000, 0.000, 0.000) (multiplicity 1)
Os (0.000, 0.500, 0.500) (multiplicity 2)
Ru (0.500, 0.500, 0.500) (multiplicity 1)
W (0.500, 0.500, 0.000) (multiplicity 1)

ΔE_f = 1743.6 meV/atom
magnetization = 0.271 μB per atom
mass density = 12.27 g/cm3
E_tot = -41.8 eV/cell